No. 1
## NbCuAsAu (PBE-GGA)

Data for crystalline NbCuAsAu at its relaxed geometry.

abc: 4.6019 4.6019 4.6019
angles: 60.00 60.00 60.00
Closest atoms and distances in Å follow each position.
Fractional coordinates of all 4 atoms:
As: 0.0000 0.0000 0.0000  4 Cu 2.82, 4 Au 2.82
Au: 0.2500 0.2500 0.2500  4 As 2.82, 4 Nb 2.82
Cu: 0.7500 0.7500 0.7500  4 Nb 2.82, 4 As 2.82
Nb: 0.5000 0.5000 0.5000  4 Cu 2.82, 4 Au 2.82

Output
ΔE to the lowest computed polymorph, eV per formula unit: 1.342
Magnetization, μB/f.u.: 1.12

No. 2
## MgCdSO (PBE-GGA)

Data for crystalline MgCdSO at its relaxed geometry.

abc: 6.9039 11.3288 6.9515
angles: 90.00 90.00 90.00
Closest atoms and distances in Å follow each position.
Fractional coordinates of all 32 atoms:
Cd: 0.0278 0.2464 0.2003  3 O 2.25-2.34
Cd: 0.4722 0.7464 0.2003  3 O 2.25-2.34
Cd: 0.5278 0.2464 0.2997  3 O 2.25-2.34
Cd: 0.9722 0.7464 0.2997  3 O 2.25-2.34
Cd: 0.0278 0.2536 0.7003  3 O 2.25-2.34
Cd: 0.4722 0.7536 0.7003  3 O 2.25-2.34
Cd: 0.5278 0.2536 0.7997  3 O 2.25-2.34
Cd: 0.9722 0.7536 0.7997  3 O 2.25-2.34
Mg: 0.7481 0.0469 0.0135  1 O 1.96
Mg: 0.7519 0.5469 0.0135  1 O 1.96
Mg: 0.2481 0.0469 0.4865  1 O 1.96
Mg: 0.2519 0.5469 0.4865  1 O 1.96
Mg: 0.7481 0.4531 0.5135  1 O 1.96
Mg: 0.7519 0.9531 0.5135  1 O 1.96
Mg: 0.2481 0.4531 0.9865  1 O 1.96
Mg: 0.2519 0.9531 0.9865  1 O 1.96
O: 0.7383 0.2176 0.0578  1 Mg 1.96
O: 0.7617 0.7176 0.0578  1 Mg 1.96
O: 0.2383 0.2176 0.4422  1 Mg 1.96
O: 0.2617 0.7176 0.4422  1 Mg 1.96
O: 0.7383 0.2824 0.5578  1 Mg 1.96
O: 0.7617 0.7824 0.5578  1 Mg 1.96
O: 0.2383 0.2824 0.9422  1 Mg 1.96
O: 0.2617 0.7824 0.9422  1 Mg 1.96
S: 0.4996 0.4810 0.2476  4 Mg 2.50-2.54, 1 Cd 2.69
S: 0.0004 0.9810 0.2476  4 Mg 2.50-2.54, 1 Cd 2.69
S: 0.9996 0.4810 0.2524  4 Mg 2.50-2.54, 1 Cd 2.69
S: 0.5004 0.9810 0.2524  4 Mg 2.50-2.54, 1 Cd 2.69
S: 0.4996 0.0190 0.7476  4 Mg 2.50-2.54, 1 Cd 2.69
S: 0.0004 0.5190 0.7476  4 Mg 2.50-2.54, 1 Cd 2.69
S: 0.9996 0.0190 0.7524  4 Mg 2.50-2.54, 1 Cd 2.69
S: 0.5004 0.5190 0.7524  4 Mg 2.50-2.54, 1 Cd 2.69

Output
ΔE to the lowest computed polymorph, eV per formula unit: 1.050

No. 3
## ZrBi (PBE-GGA)

Data for crystalline ZrBi at its relaxed geometry.

abc: 5.7008 10.0048 5.3448
angles: 90.00 90.00 89.99
Closest atoms and distances in Å follow each position.
Fractional coordinates of all 12 atoms:
Bi: 0.4437 0.2199 0.0000  5 Zr 2.98-3.20
Bi: 0.9437 0.9466 0.0000  5 Zr 2.98-3.20
Bi: 0.3983 0.0046 0.5000  3 Zr 3.11-3.18, 5 Bi 3.26-3.44
Bi: 0.8982 0.1622 0.5000  3 Zr 3.11-3.18, 5 Bi 3.26-3.44
Bi: 0.8381 0.4906 0.5000  9 Zr 3.13-3.24, 3 Bi 3.30-3.40
Bi: 0.3380 0.6761 0.5000  9 Zr 3.13-3.24, 3 Bi 3.30-3.40
Zr: 0.9497 0.3183 0.0000  6 Bi 2.98-3.24, 2 Zr 3.17-3.22
Zr: 0.5336 0.5355 0.0000  4 Zr 3.01-3.22, 5 Bi 3.20-3.22
Zr: 0.0336 0.6312 0.0000  4 Zr 3.01-3.22, 5 Bi 3.20-3.22
Zr: 0.4498 0.8484 0.0000  6 Bi 2.98-3.24, 2 Zr 3.17-3.22
Zr: 0.3367 0.3590 0.5000  6 Bi 3.07-3.18, 2 Zr 3.39
Zr: 0.8366 0.8076 0.5000  6 Bi 3.07-3.18, 2 Zr 3.39

Output
VASP energy, eV/cell: -78.06
Magnetization, μB/f.u.: 0.00

No. 4
## TmBrO (PBE-GGA)

Data for crystalline TmBrO at its relaxed geometry.

abc: 3.7664 3.7664 8.6044
angles: 90.00 90.00 90.00
Closest atoms and distances in Å follow each position.
Fractional coordinates of all 6 atoms:
Br: 0.5000 0.0000 0.1764  4 Tm 3.14, 4 O 3.36
Br: 0.0000 0.5000 0.8236  4 Tm 3.14, 4 O 3.36
O: 0.0000 0.0000 0.5000  4 Tm 2.19
O: 0.5000 0.5000 0.5000  4 Tm 2.19
Tm: 0.0000 0.5000 0.3703  4 O 2.19
Tm: 0.5000 0.0000 0.6297  4 O 2.19

Output
VASP energy, eV/cell: -39.84
Magnetization, μB/f.u.: 0.00

No. 5
## CsHgPO (PBE-GGA)

Data for crystalline CsHgPO at its relaxed geometry.

abc: 3.9519 8.1398 6.2786
angles: 90.00 90.00 90.00
Closest atoms and distances in Å follow each position.
Fractional coordinates of all 8 atoms:
Cs: 0.0000 0.1799 0.0006  4 O 2.91-2.92
Cs: 0.0000 0.8201 0.5006  4 O 2.91-2.92
Hg: 0.5000 0.2025 0.4996  2 O 2.27-2.28
Hg: 0.5000 0.7975 0.9996  2 O 2.27-2.28
O: 0.5000 0.9998 0.2517  2 Hg 2.27-2.28
O: 0.5000 0.0002 0.7517  2 Hg 2.27-2.28
P: 0.0000 0.5922 0.0021  2 Hg 2.59
P: 0.0000 0.4078 0.5021  2 Hg 2.59

Output
ΔE to the lowest computed polymorph, eV per formula unit: 0.000

No. 6
## LuThAs (PBE-GGA)

Data for crystalline LuThAs at its relaxed geometry.

abc: 4.9312 4.9312 4.9312
angles: 60.00 60.00 60.00
Closest atoms and distances in Å follow each position.
Fractional coordinates of all 3 atoms:
As: 0.2500 0.2500 0.2500  4 Lu 3.02
Lu: 0.0000 0.0000 0.0000  4 As 3.02, 4 Th 3.02
Th: 0.7500 0.7500 0.7500  4 Lu 3.02

Output
VASP energy, eV/cell: -15.49
Magnetization, μB/f.u.: 2.20

No. 7
## Y4ZnPbN2 (PBE-GGA)

Data for crystalline Y4ZnPbN2 at its relaxed geometry.

abc: 3.5459 3.5459 15.1074
angles: 90.00 90.00 120.00
Closest atoms and distances in Å follow each position.
Fractional coordinates of all 8 atoms:
N: 0.3333 0.6667 0.2557  6 Y 2.39-2.50
N: 0.3333 0.6667 0.7443  6 Y 2.39-2.50
Pb: 0.0000 0.0000 0.0000  6 Y 3.33, 6 Pb 3.55
Y: 0.6667 0.3333 0.1736  3 N 2.39
Y: 0.0000 0.0000 0.3503  3 N 2.50
Y: 0.0000 0.0000 0.6497  3 N 2.50
Y: 0.6667 0.3333 0.8264  3 N 2.39
Zn: 0.6667 0.3333 0.5000  6 Y 3.05

Output
VASP energy, eV/cell: -55.39
Magnetization, μB/f.u.: 0.00

No. 8
## HfBi2 (PBE-GGA)

Data for crystalline HfBi2 at its relaxed geometry.

abc: 3.3447 3.3447 7.6156
angles: 102.69 102.69 90.00
Closest atoms and distances in Å follow each position.
Fractional coordinates of all 3 atoms:
Bi: 0.6465 0.6465 0.2929  4 Hf 3.18, 4 Bi 3.34
Bi: 0.3535 0.3535 0.7071  4 Hf 3.18, 4 Bi 3.34
Hf: 0.0000 0.0000 0.0000  8 Bi 3.18, 4 Hf 3.34

Output
VASP energy, eV/cell: -18.21
Magnetization, μB/f.u.: 0.00

No. 9
## Ge2Ir2O5 (PBE-GGA)

Data for crystalline Ge2Ir2O5 at its relaxed geometry.

abc: 8.7736 3.4375 3.4375
angles: 90.00 90.00 90.00
Closest atoms and distances in Å follow each position.
Fractional coordinates of all 9 atoms:
Ge: 0.2690 0.5000 0.5000  5 O 2.03-2.06
Ge: 0.7310 0.5000 0.5000  5 O 2.03-2.06
Ir: 0.0000 0.0000 0.0000  8 O 2.11
Ir: 0.5000 0.0000 0.0000  4 O 2.43
O: 0.1389 0.5000 0.0000  2 Ge 2.06, 2 Ir 2.11
O: 0.8611 0.5000 0.0000  2 Ge 2.06, 2 Ir 2.11
O: 0.1389 0.0000 0.5000  2 Ge 2.06, 2 Ir 2.11
O: 0.8611 0.0000 0.5000  2 Ge 2.06, 2 Ir 2.11
O: 0.5000 0.5000 0.5000  2 Ge 2.03

Output
ΔE to the lowest computed polymorph, eV per formula unit: 1.143
Magnetization, μB/f.u.: 0.52

No. 10
## NaTa3Si5 (PBE-GGA)

Data for crystalline NaTa3Si5 at its relaxed geometry.

abc: 5.6111 5.6111 6.4109
angles: 90.00 90.00 120.00
Closest atoms and distances in Å follow each position.
Fractional coordinates of all 9 atoms:
Na: 0.0000 0.0000 0.0000  14 Si 3.21-3.44
Si: 0.6667 0.3333 0.1801  1 Si 2.31
Si: 0.3333 0.6667 0.1801  1 Si 2.31
Si: 0.0000 0.0000 0.5000  6 Ta 2.81
Si: 0.6667 0.3333 0.8199  1 Si 2.31
Si: 0.3333 0.6667 0.8199  1 Si 2.31
Ta: 0.5000 0.0000 0.5000  6 Si 2.61-2.81, 4 Ta 2.81
Ta: 0.0000 0.5000 0.5000  6 Si 2.61-2.81, 4 Ta 2.81
Ta: 0.5000 0.5000 0.5000  6 Si 2.61-2.81, 4 Ta 2.81

Output
VASP energy, eV/cell: -64.10
Magnetization, μB/f.u.: 0.00

No. 11
## LiFeGeOs (PBE-GGA)

Data for crystalline LiFeGeOs at its relaxed geometry.

abc: 4.1346 4.1346 4.1346
angles: 60.00 60.00 60.00
Closest atoms and distances in Å follow each position.
Fractional coordinates of all 4 atoms:
Fe: 0.7500 0.7500 0.7500  4 Os 2.53, 4 Ge 2.53
Ge: 0.0000 0.0000 0.0000  4 Fe 2.53, 4 Li 2.53
Li: 0.2500 0.2500 0.2500  4 Ge 2.53, 4 Os 2.53
Os: 0.5000 0.5000 0.5000  4 Fe 2.53, 4 Li 2.53

Output
ΔE to the lowest computed polymorph, eV per formula unit: 0.054
Magnetization, μB/f.u.: 2.27

No. 12
## KPdAuSeS2 (PBE-GGA)

Data for crystalline KPdAuSeS2 at its relaxed geometry.

abc: 8.2291 8.2291 10.2993
angles: 90.00 90.00 154.85
Closest atoms and distances in Å follow each position.
Fractional coordinates of all 12 atoms:
Au: 0.1075 0.8925 0.2500  2 S 2.33
Au: 0.8925 0.1075 0.7500  2 S 2.33
K: 0.7806 0.2194 0.2500  2 Se 3.28, 2 Au 3.31, 2 S 3.41, 2 K 3.58
K: 0.2194 0.7806 0.7500  2 Se 3.28, 2 Au 3.31, 2 S 3.41, 2 K 3.58
Pd: 0.5000 0.5000 0.0000  4 S 2.43, 2 Se 2.69
Pd: 0.5000 0.5000 0.5000  4 S 2.43, 2 Se 2.69
S: 0.1006 0.8994 0.0245  1 Au 2.33, 2 Pd 2.43
S: 0.1006 0.8994 0.4755  1 Au 2.33, 2 Pd 2.43
S: 0.8994 0.1006 0.5245  1 Au 2.33, 2 Pd 2.43
S: 0.8994 0.1006 0.9755  1 Au 2.33, 2 Pd 2.43
Se: 0.4513 0.5487 0.2500  2 Pd 2.69
Se: 0.5487 0.4513 0.7500  2 Pd 2.69

Output
VASP energy, eV/cell: -46.64